Entry 1:
The following is a DFT calculation (SCAN) of a crystal of LaCdTc2 relaxed with PBEsol.

- total magnetization (μB/f.u.) = 0.00
- E_form (eV per atom) = 0.734

Cell and atoms, written as CIF:
```
data_LaCdTc2
_chemical_formula_sum 'La1 Cd1 Tc2'
_symmetry_space_group_name_H-M 'P 1'
_symmetry_Int_Tables_number 1
_symmetry_space_group_name_Hall 'P 1'
_cell_length_a 2.769
_cell_length_b 2.769
_cell_length_c 9.550
_cell_angle_alpha 90.00
_cell_angle_beta 90.00
_cell_angle_gamma 90.00
loop_
_atom_site_label
_atom_site_type_symbol
_atom_site_fract_x
_atom_site_fract_y
_atom_site_fract_z
Cd1 Cd 0.500 0.500 0.000
La1 La 0.500 0.500 0.500
Tc1 Tc 0.000 0.000 0.772
Tc2 Tc 0.000 0.000 0.228
```


Entry 2:
The following is a DFT calculation (SCAN) of a crystal of Al2H12Se3O15 relaxed with PBEsol.

- polymorph energy (0 for the lowest one) (meV per atom) = 55
- total magnetization (μB/f.u.) = 0.00

Cell and atoms, written as CIF:
```
data_Al2H12Se3O15
_chemical_formula_sum 'Al4 H24 Se6 O30'
_symmetry_space_group_name_H-M 'P 1'
_symmetry_Int_Tables_number 1
_symmetry_space_group_name_Hall 'P 1'
_cell_length_a 9.134
_cell_length_b 9.134
_cell_length_c 10.459
_cell_angle_alpha 90.00
_cell_angle_beta 90.00
_cell_angle_gamma 120.00
loop_
_atom_site_label
_atom_site_type_symbol
_atom_site_fract_x
_atom_site_fract_y
_atom_site_fract_z
Al1 Al 0.333 0.667 0.397
Al2 Al 0.667 0.333 0.897
Al3 Al 0.333 0.667 0.942
Al4 Al 0.667 0.333 0.442
H1 H 0.362 0.841 0.582
H2 H 0.479 0.638 0.582
H3 H 0.159 0.521 0.582
H4 H 0.521 0.159 0.082
H5 H 0.841 0.362 0.082
H6 H 0.638 0.479 0.082
H7 H 0.488 0.456 0.003
H8 H 0.968 0.512 0.003
H9 H 0.544 0.032 0.003
H10 H 0.032 0.544 0.503
H11 H 0.456 0.488 0.503
H12 H 0.512 0.968 0.503
H13 H 0.428 0.230 0.272
H14 H 0.803 0.572 0.272
H15 H 0.770 0.197 0.272
H16 H 0.197 0.770 0.772
H17 H 0.230 0.428 0.772
H18 H 0.572 0.803 0.772
H19 H 0.569 0.057 0.311
H20 H 0.488 0.431 0.311
H21 H 0.943 0.512 0.311
H22 H 0.512 0.943 0.811
H23 H 0.057 0.569 0.811
H24 H 0.431 0.488 0.811
Se1 Se 0.263 0.874 0.171
Se2 Se 0.611 0.737 0.171
Se3 Se 0.126 0.389 0.171
Se4 Se 0.389 0.126 0.671
Se5 Se 0.874 0.263 0.671
Se6 Se 0.737 0.611 0.671
O1 O 0.381 0.859 0.296
O2 O 0.477 0.619 0.296
O3 O 0.141 0.523 0.296
O4 O 0.523 0.141 0.796
O5 O 0.859 0.381 0.796
O6 O 0.619 0.477 0.796
O7 O 0.454 0.844 0.524
O8 O 0.390 0.546 0.524
O9 O 0.156 0.610 0.524
O10 O 0.610 0.156 0.024
O11 O 0.844 0.454 0.024
O12 O 0.546 0.390 0.024
O13 O 0.346 0.085 0.167
O14 O 0.739 0.654 0.167
O15 O 0.915 0.261 0.167
O16 O 0.261 0.915 0.667
O17 O 0.085 0.346 0.667
O18 O 0.654 0.739 0.667
O19 O 0.366 0.852 0.039
O20 O 0.486 0.634 0.039
O21 O 0.148 0.514 0.039
O22 O 0.514 0.148 0.539
O23 O 0.852 0.366 0.539
O24 O 0.634 0.486 0.539
O25 O 0.510 0.836 0.836
O26 O 0.326 0.490 0.836
O27 O 0.164 0.674 0.836
O28 O 0.674 0.164 0.336
O29 O 0.836 0.510 0.336
O30 O 0.490 0.326 0.336
```


Entry 3:
The following is a DFT calculation (SCAN) of a crystal of Li2ScCl relaxed with PBEsol.

- polymorph energy (0 for the lowest one) (meV per atom) = 0
- total magnetization (μB/f.u.) = 0.65
- energy relative to the elements, uncorrected (meV/atom) = -622

Cell and atoms, written as CIF:
```
data_Li2ScCl
_chemical_formula_sum 'Li2 Sc1 Cl1'
_symmetry_space_group_name_H-M 'P 1'
_symmetry_Int_Tables_number 1
_symmetry_space_group_name_Hall 'P 1'
_cell_length_a 3.235
_cell_length_b 3.235
_cell_length_c 8.706
_cell_angle_alpha 90.00
_cell_angle_beta 90.00
_cell_angle_gamma 116.61
loop_
_atom_site_label
_atom_site_type_symbol
_atom_site_fract_x
_atom_site_fract_y
_atom_site_fract_z
Sc1 Sc 0.000 0.000 0.471
Cl1 Cl 0.500 0.500 0.237
Li1 Li 0.000 0.000 0.038
Li2 Li 0.500 0.500 0.755
```


Entry 4:
The following is a DFT calculation (SCAN) of a crystal of NbCN3 relaxed with PBEsol.

- total magnetization (μB/f.u.) = 0.00
- energy relative to the elements, uncorrected (meV/atom) = 1464

Cell and atoms, written as CIF:
```
data_NbCN3
_chemical_formula_sum 'Nb1 C1 N3'
_symmetry_space_group_name_H-M 'P 1'
_symmetry_Int_Tables_number 1
_symmetry_space_group_name_Hall 'P 1'
_cell_length_a 3.369
_cell_length_b 3.369
_cell_length_c 3.369
_cell_angle_alpha 90.00
_cell_angle_beta 90.00
_cell_angle_gamma 90.00
loop_
_atom_site_label
_atom_site_type_symbol
_atom_site_fract_x
_atom_site_fract_y
_atom_site_fract_z
Nb1 Nb 0.500 0.500 0.500
C1 C 0.000 0.000 0.000
N1 N 0.000 0.500 0.000
N2 N 0.000 0.000 0.500
N3 N 0.500 0.000 0.000
```


Entry 5:
The following is a DFT calculation (SCAN) of a crystal of Cu2AgSe relaxed with PBEsol.

- total magnetization (μB/f.u.) = 0.00
- energy relative to the elements, uncorrected (meV/atom) = 148

Cell and atoms, written as CIF:
```
data_Cu2AgSe
_chemical_formula_sum 'Cu2 Ag1 Se1'
_symmetry_space_group_name_H-M 'P 1'
_symmetry_Int_Tables_number 1
_symmetry_space_group_name_Hall 'P 1'
_cell_length_a 2.895
_cell_length_b 3.491
_cell_length_c 5.890
_cell_angle_alpha 90.00
_cell_angle_beta 90.00
_cell_angle_gamma 90.00
loop_
_atom_site_label
_atom_site_type_symbol
_atom_site_fract_x
_atom_site_fract_y
_atom_site_fract_z
Ag1 Ag 0.500 0.500 0.783
Cu1 Cu 0.000 0.000 0.030
Cu2 Cu 0.500 0.500 0.231
Se1 Se 0.000 0.000 0.456
```


Entry 6:
The following is a DFT calculation (SCAN) of a crystal of Nb3SbH relaxed with PBEsol.

- total magnetization (μB/f.u.) = 0.00
- uncorrected energy (hartree per atom) = -1.0390

Cell and atoms, written as CIF:
```
data_Nb3SbH
_chemical_formula_sum 'Nb3 Sb1 H1'
_symmetry_space_group_name_H-M 'P 1'
_symmetry_Int_Tables_number 1
_symmetry_space_group_name_Hall 'P 1'
_cell_length_a 4.209
_cell_length_b 4.209
_cell_length_c 4.209
_cell_angle_alpha 90.00
_cell_angle_beta 90.00
_cell_angle_gamma 90.00
loop_
_atom_site_label
_atom_site_type_symbol
_atom_site_fract_x
_atom_site_fract_y
_atom_site_fract_z
Sb1 Sb 0.500 0.500 0.500
Nb1 Nb 0.000 0.500 0.000
Nb2 Nb 0.000 0.000 0.500
Nb3 Nb 0.500 0.000 0.000
H1 H 0.000 0.000 0.000
```


For each record above, in turn, the calculated mass density values are 10.1; 2.4; 1.9; 6.4; 8.8; 8.9 g/cm³.